Record 1
! Ag3PdCl7 (GGA-PBE, optimized geometry); values from VASP
&SYSTEM
  ibrav = 0, nat = 11, ntyp = 3
/
ATOMIC_SPECIES
Ag 107.87 Ag.upf
Pd 106.42 Pd.upf
Cl 35.45 Cl.upf
ATOMIC_POSITIONS crystal
Ag 0.707 0.167 0.496
Ag 0.472 0.472 0.932
Ag 0.167 0.707 0.496
Pd 0.037 0.037 0.965
Cl 0.117 0.117 0.192
Cl 0.663 0.115 0.182
Cl 0.964 0.405 0.749
Cl 0.115 0.663 0.182
Cl 0.540 0.540 0.543
Cl 0.405 0.964 0.749
Cl 0.939 0.939 0.763
CELL_PARAMETERS angstrom
6.217 1.668 3.272
0.194 6.434 3.272
0.059 0.074 7.467
! DOS(E_F) ... 0.02 states/eV per atom
! Formation energy from raw total energies ... -395 meV/atom
! Space group ... No. 8

***

Record 2
! Ag6Pd3Cl14 (GGA-PBE, optimized geometry); values from VASP
&SYSTEM
  ibrav = 0, nat = 23, ntyp = 3
/
ATOMIC_SPECIES
Ag 107.87 Ag.upf
Pd 106.42 Pd.upf
Cl 35.45 Cl.upf
ATOMIC_POSITIONS crystal
Ag 0.302 0.774 0.015
Ag 0.302 0.985 0.759
Ag 0.302 0.241 0.226
Ag 0.822 0.540 0.591
Ag 0.822 0.409 0.949
Ag 0.822 0.051 0.460
Pd 0.857 0.000 0.000
Pd 0.391 0.333 0.667
Pd 0.338 0.667 0.333
Cl 0.035 0.032 0.225
Cl 0.035 0.775 0.807
Cl 0.035 0.193 0.968
Cl 0.586 0.287 0.442
Cl 0.586 0.558 0.845
Cl 0.586 0.155 0.713
Cl 0.485 0.000 0.000
Cl 0.024 0.333 0.667
Cl 0.548 0.828 0.281
Cl 0.548 0.719 0.547
Cl 0.548 0.453 0.172
Cl 0.124 0.507 0.390
Cl 0.124 0.610 0.117
Cl 0.124 0.883 0.493
CELL_PARAMETERS angstrom
-6.416 -0.104 -1.463
1.913 4.581 -8.714
0.045 -10.016 0.516
! DOS(E_F) ... 0.15 states/eV per atom
! Formation energy from raw total energies ... -327 meV/atom
! Space group ... No. 143

***

Record 3
! Ag4PdCl6 (GGA-PBE, optimized geometry); values from VASP
&SYSTEM
  ibrav = 0, nat = 22, ntyp = 3
/
ATOMIC_SPECIES
Ag 107.87 Ag.upf
Pd 106.42 Pd.upf
Cl 35.45 Cl.upf
ATOMIC_POSITIONS crystal
Ag 0.319 0.883 0.720
Ag 0.078 0.383 0.220
Ag 0.952 0.287 0.453
Ag 0.308 0.787 0.953
Ag 0.923 0.699 0.629
Ag 0.749 0.199 0.129
Ag 0.658 0.131 0.792
Ag 0.419 0.631 0.292
Pd 0.691 0.784 0.379
Pd 0.146 0.284 0.879
Cl 0.373 0.519 0.138
Cl 0.969 0.019 0.638
Cl 0.330 0.960 0.353
Cl 0.357 0.460 0.853
Cl 0.602 0.740 0.560
Cl 0.098 0.240 0.060
Cl 0.934 0.104 0.910
Cl 0.052 0.604 0.410
Cl 0.771 0.266 0.322
Cl 0.641 0.766 0.822
Cl 0.213 0.313 0.699
Cl 0.776 0.813 0.199
CELL_PARAMETERS angstrom
6.952 0.000 2.099
3.030 6.212 2.525
-0.351 0.612 13.724
! Formation energy from raw total energies ... -422 meV/atom
! Space group ... No. 9

***

Record 4
! AgPd2Cl8 (GGA-PBE, optimized geometry); values from VASP
&SYSTEM
  ibrav = 0, nat = 11, ntyp = 3
/
ATOMIC_SPECIES
Ag 107.87 Ag.upf
Pd 106.42 Pd.upf
Cl 35.45 Cl.upf
ATOMIC_POSITIONS crystal
Ag 0.000 0.000 0.000
Pd 0.211 0.236 0.236
Pd 0.789 0.764 0.764
Cl 0.888 0.113 0.630
Cl 0.112 0.370 0.887
Cl 0.576 0.120 0.120
Cl 0.424 0.880 0.880
Cl 0.888 0.630 0.113
Cl 0.112 0.887 0.370
Cl 0.343 0.364 0.364
Cl 0.657 0.636 0.636
CELL_PARAMETERS angstrom
-6.427 -0.803 -0.907
-1.691 -7.502 -0.043
-2.882 -4.378 5.628
! DOS(E_F) ... 0.69 states/eV per atom
! Formation energy from raw total energies ... -128 meV/atom
! Excess energy over the best structure of this formula in the dataset ... 128 meV per atom
! Space group ... No. 12

***

Record 5
! AgPd2Cl8 (GGA-PBE, optimized geometry); values from VASP
&SYSTEM
  ibrav = 0, nat = 11, ntyp = 3
/
ATOMIC_SPECIES
Ag 107.87 Ag.upf
Pd 106.42 Pd.upf
Cl 35.45 Cl.upf
ATOMIC_POSITIONS crystal
Ag 0.000 0.000 0.000
Pd 0.900 0.799 0.584
Pd 0.100 0.201 0.416
Cl 0.837 0.101 0.194
Cl 0.264 0.101 0.194
Cl 0.163 0.899 0.806
Cl 0.338 0.676 0.520
Cl 0.736 0.899 0.806
Cl 0.860 0.719 0.330
Cl 0.140 0.281 0.670
Cl 0.662 0.324 0.480
CELL_PARAMETERS angstrom
7.535 0.000 0.000
-3.768 5.217 -2.028
0.000 -2.014 9.913
! DOS(E_F) ... 0.57 states/eV per atom
! Formation energy from raw total energies ... -256 meV/atom
! Excess energy over the best structure of this formula in the dataset ... 0 meV per atom
! Space group ... No. 12

***

Record 6
! Ag2PdCl5 (GGA-PBE, optimized geometry); values from VASP
&SYSTEM
  ibrav = 0, nat = 16, ntyp = 3
/
ATOMIC_SPECIES
Ag 107.87 Ag.upf
Pd 106.42 Pd.upf
Cl 35.45 Cl.upf
ATOMIC_POSITIONS crystal
Ag 0.863 0.727 0.415
Ag 0.863 0.727 0.085
Ag 0.137 0.273 0.585
Ag 0.137 0.273 0.915
Pd 0.800 0.600 0.750
Pd 0.200 0.400 0.250
Cl 0.930 0.860 0.884
Cl 0.930 0.860 0.616
Cl 0.328 0.655 0.387
Cl 0.328 0.655 0.113
Cl 0.713 0.426 0.250
Cl 0.287 0.574 0.750
Cl 0.672 0.345 0.613
Cl 0.672 0.345 0.887
Cl 0.070 0.140 0.116
Cl 0.070 0.140 0.384
CELL_PARAMETERS angstrom
5.171 0.000 0.000
-2.586 6.461 0.000
0.000 0.000 12.367
! DOS(E_F) ... 0.15 states/eV per atom
! Formation energy from raw total energies ... -438 meV/atom
! Space group ... No. 63

***

Record 7
! AgPd3Cl (GGA-PBE, optimized geometry); values from VASP
&SYSTEM
  ibrav = 0, nat = 5, ntyp = 3
/
ATOMIC_SPECIES
Pd 106.42 Pd.upf
Ag 107.87 Ag.upf
Cl 35.45 Cl.upf
ATOMIC_POSITIONS crystal
Pd 0.000 0.500 0.000
Pd 0.000 0.000 0.500
Pd 0.500 0.000 0.000
Ag 0.000 0.000 0.000
Cl 0.500 0.500 0.500
CELL_PARAMETERS angstrom
-0.900 1.139 -4.761
-4.828 0.591 1.054
0.807 4.809 0.998
! DOS(E_F) ... 1.56 states/eV per atom
! Formation energy from raw total energies ... 1076 meV/atom
! Excess energy over the best structure of this formula in the dataset ... 733 meV per atom
! Space group ... No. 221

***

Record 8
! Ag2PdCl (GGA-PBE, optimized geometry); values from VASP
&SYSTEM
  ibrav = 0, nat = 8, ntyp = 3
/
ATOMIC_SPECIES
Pd 106.42 Pd.upf
Ag 107.87 Ag.upf
Cl 35.45 Cl.upf
ATOMIC_POSITIONS crystal
Pd 0.000 0.000 0.000
Pd 0.750 0.250 0.500
Ag 0.619 0.125 0.250
Ag 0.131 0.625 0.250
Ag 0.375 0.381 0.750
Ag 0.875 0.869 0.750
Cl 0.500 0.500 0.000
Cl 0.250 0.750 0.500
CELL_PARAMETERS angstrom
7.568 0.000 0.000
0.000 7.568 0.000
3.784 3.784 2.736
! DOS(E_F) ... 0.44 states/eV per atom
! Formation energy from raw total energies ... 205 meV/atom
! Excess energy over the best structure of this formula in the dataset ... 41 meV per atom
! Space group ... No. 122

***

no.,raw total energy (eV per cell)
1,-31.02
2,-66.05
3,-64.64
4,-29.42
5,-30.83
6,-47.27
7,-14.90
8,-23.84